(1)
# HfGa3Re

A relaxed structure of HfGa3Re (PBE, Alexandria via LeMat-Bulk).

Cell and atoms, written as POSCAR:
```
HfGa3Re
1.0
4.7423 0.0000 0.0000
0.0000 4.7423 0.0000
0.0000 0.0000 4.7423
Hf Ga Re
1 3 1
direct
0.5000 0.5000 0.5000 Hf
0.0000 0.0000 0.5000 Ga
0.5000 0.0000 0.0000 Ga
0.0000 0.5000 0.0000 Ga
0.0000 0.0000 0.0000 Re
```

Properties
E_tot	-5.73	eV/atom
polymorph energy (0 for the lowest one)	0	meV/atom
energy relative to the elements	0.571	eV per atom

***

(2)
# HfGa2Re

A relaxed structure of HfGa2Re (PBE, Alexandria via LeMat-Bulk).

Cell and atoms, written as POSCAR:
```
HfGa2Re
1.0
0.0000 3.1814 3.1814
3.1814 0.0000 3.1814
3.1814 3.1814 0.0000
Ga Hf Re
2 1 1
direct
0.2500 0.2500 0.2500 Ga
0.7500 0.7500 0.7500 Ga
0.0000 0.0000 0.0000 Hf
0.5000 0.5000 0.5000 Re
```

Properties
E_tot	-7.21	eV/atom
polymorph energy (0 for the lowest one)	0	meV/atom
energy relative to the elements	-0.096	eV per atom

***

The highest energy relative to the elements belongs to which entry? HfGa3Re